No. 1
The following is a DFT calculation (GGA-PBE) of a geometry-optimized SiPPbO2 structure.

The space group is P4/mmm (No. 123) and the conventional cell measures 4.124, 4.124 and 5.487 Å, with angles of 90.00, 90.00 and 90.00 degrees. The distinct sites, in fractional coordinates, are Si at (0.000, 0.000, 0.000), P at (0.500, 0.500, 0.000), Pb at (0.500, 0.500, 0.500) and O at (0.000, 0.500, 0.500).

As for the magnetization: 0.00 μB/atom. For the uncorrected energy, the calculation gives -4.475 eV per atom. Its density of states at the Fermi level is 0.82 states/eV/atom. The formation energy from raw total energies comes out at 0.417 eV/atom. As for the crystal system: tetragonal.

No. 2
The following is a DFT calculation (GGA-PBE) of a geometry-optimized Sm3PPbO structure.

The space group is P2_1/m (No. 11) and the conventional cell measures 8.994, 4.090 and 9.182 Å, with angles of 90.00, 103.89 and 90.00 degrees. The distinct sites, in fractional coordinates, are Sm at (0.065, 0.250, 0.341), Sm at (0.333, 0.250, 0.977), Sm at (0.382, 0.750, 0.648), P at (0.157, 0.250, 0.659), Pb at (0.316, 0.750, 0.272) and O at (0.412, 0.750, 0.905).

As for the magnetization: 0.00 μB/atom. For the uncorrected energy, the calculation gives -6.354 eV per atom. Its density of states at the Fermi level is 0.41 states/eV/atom. The formation energy from raw total energies comes out at -1.649 eV/atom. As for the crystal system: monoclinic.

No. 3
The following is a DFT calculation (GGA-PBE) of a geometry-optimized SnPPbO2 structure.

The space group is P4/mmm (No. 123) and the conventional cell measures 4.081, 4.081 and 5.312 Å, with angles of 90.00, 90.00 and 90.00 degrees. The distinct sites, in fractional coordinates, are Sn at (0.000, 0.000, 0.000), P at (0.000, 0.000, 0.500), Pb at (0.500, 0.500, 0.500) and O at (0.000, 0.500, 0.000).

As for the magnetization: 0.00 μB/atom. For the uncorrected energy, the calculation gives -5.131 eV per atom. Its density of states at the Fermi level is 0.28 states/eV/atom. The formation energy from raw total energies comes out at -0.524 eV/atom. As for the crystal system: tetragonal.